# SbPb (SCAN, single point on PBEsol structure)
# Uncorrected formation energy in eV per formula unit: 0.06
# Energy in eV per atom: -56.49
# DOS(E_F) in states/eV/cell: 3.791
data_SbPb
_cell_length_a 6.247
_cell_length_b 6.247
_cell_length_c 6.247
_cell_angle_alpha 90.00
_cell_angle_beta 90.00
_cell_angle_gamma 90.00
_space_group_name_H-M_alt 'F m -3 m'
_space_group_IT_number 225
_space_group_name_Hall '-F 4 2 3'
loop_
_atom_site_label
_atom_site_fract_x
_atom_site_fract_y
_atom_site_fract_z
Sb1 0.000 0.000 0.000
Pb1 0.000 0.000 0.500